1.
RbNaBiF6: optimized geometry, PBE.

Properties
Mass density   3.82 g/cm3
DFT total energy   -79.03 eV for the cell shown
Calculated volume   187 Å³/f.u.
Total moment   0.115 μB/atom
Symmetry   P-31c (163)
Uncorrected formation energy   -2.458 eV/atom

POSCAR file:
```
RbNaBiF6
1.0
6.1074 0.0000 0.0000
-3.0537 5.2892 0.0000
0.0000 0.0000 11.6023
F Bi Rb Na
12 2 2 2
Direct
0.6367 0.0228 0.3531 F
0.3861 0.3633 0.3531 F
0.3861 0.0228 0.1469 F
0.6139 0.9772 0.8531 F
0.0228 0.3861 0.6469 F
0.3633 0.3861 0.8531 F
0.3633 0.9772 0.6469 F
0.0228 0.6367 0.8531 F
0.9772 0.3633 0.1469 F
0.6367 0.6139 0.1469 F
0.6139 0.6367 0.6469 F
0.9772 0.6139 0.3531 F
0.6667 0.3333 0.2500 Bi
0.3333 0.6667 0.7500 Bi
0.0000 0.0000 0.0000 Rb
0.0000 0.0000 0.5000 Rb
0.6667 0.3333 0.7500 Na
0.3333 0.6667 0.2500 Na
```



2.
ErNp2Pd9: optimized geometry, PBE.

Properties
Mass density   12.60 g/cm3
ΔE_f   -0.611 eV/atom
DFT total energy   -84.51 eV for the cell shown
Calculated volume   211 Å³/f.u.
Total moment   0.542 μB/atom
Symmetry   P4/mmm (123)

POSCAR file:
```
ErNp2Pd9
1.0
-1.7657 -2.5689 -2.7000
3.4681 -2.2264 -0.1498
-4.0990 -7.0144 9.3546
Pd Np Er
9 2 1
Direct
0.0000 0.5000 0.8335 Pd
0.0000 0.5000 0.5000 Pd
0.5000 0.0000 0.1665 Pd
0.5000 0.0000 0.5000 Pd
0.5000 0.5000 0.3329 Pd
0.5000 0.5000 0.6671 Pd
0.0000 0.5000 0.1665 Pd
0.5000 0.0000 0.8335 Pd
0.5000 0.5000 0.0000 Pd
0.0000 0.0000 0.3313 Np
0.0000 0.0000 0.6687 Np
0.0000 0.0000 0.0000 Er
```